VASP calculation (PBEsol) on IrPd2AuS after structural relaxation.

The structure in POSCAR format:
```
IrPd2AuS
1.0
4.695 0.000 0.000
0.000 4.695 0.000
0.000 0.000 4.957
Ir Pd Au S
1 2 1 1
Direct
0.000 0.000 0.000
0.000 0.500 0.000
0.500 0.000 0.000
0.000 0.000 0.500
0.500 0.500 0.500
```

Output
E_form (uncorrected) ... 1.479 eV/atom
Crystal system ... tetragonal
Mass density ... 9.635 g cm⁻³